[1]
Cd8AgHg2: relaxed, PBE-GGA.

N(E_F): 3.4 states/eV/f.u.
volume: 23.9 A^3/atom
energy: -0.9502 eV/atom
energy of formation: 29 meV per atom
ΔE to the lowest computed polymorph: 0 meV/atom

Geometry as CIF:
```
data_Cd8AgHg2
_chemical_formula_sum 'Cd8 Ag1 Hg2'
_symmetry_space_group_name_H-M 'P -1'
_symmetry_Int_Tables_number 2
_cell_length_a 4.386
_cell_length_b 6.247
_cell_length_c 10.167
_cell_angle_alpha 104.53
_cell_angle_beta 100.50
_cell_angle_gamma 93.96
loop_
_symmetry_equiv_pos_as_xyz
'x,y,z'
'-x,-y,-z'
loop_
_atom_site_label
_atom_site_type_symbol
_atom_site_fract_x
_atom_site_fract_y
_atom_site_fract_z
_atom_site_occupancy
Cd1 Cd 0.051 0.306 0.052 1
Cd2 Cd 0.221 0.601 0.416 1
Cd3 Cd 0.363 0.704 0.731 1
Cd4 Cd 0.435 0.261 0.802 1
Ag1 Ag 0.500 0.000 0.000 1
Hg1 Hg 0.166 0.054 0.381 1
```

---

[2]
Cd5AgHg2: relaxed, PBE-GGA.

N(E_F): 2.7 states/eV/f.u.
volume: 22.2 A^3/atom
energy: -0.9841 eV/atom
energy of formation: 20 meV per atom
ΔE to the lowest computed polymorph: 0 meV/atom

Geometry as CIF:
```
data_Cd5AgHg2
_chemical_formula_sum 'Cd10 Ag2 Hg4'
_symmetry_space_group_name_H-M 'P b a m'
_symmetry_Int_Tables_number 55
_cell_length_a 6.056
_cell_length_b 13.494
_cell_length_c 4.354
_cell_angle_alpha 90.00
_cell_angle_beta 90.00
_cell_angle_gamma 90.00
loop_
_symmetry_equiv_pos_as_xyz
'x,y,z'
'-x,-y,-z'
'-x,-y,z'
'x,y,-z'
'x+1/2,-y+1/2,-z'
'-x+1/2,y+1/2,z'
'-x+1/2,y+1/2,-z'
'x+1/2,-y+1/2,z'
loop_
_atom_site_label
_atom_site_type_symbol
_atom_site_fract_x
_atom_site_fract_y
_atom_site_fract_z
_atom_site_occupancy
Cd1 Cd 0.000 0.000 0.000 1
Cd2 Cd 0.009 0.256 0.000 1
Cd3 Cd 0.239 0.618 0.500 1
Ag1 Ag 0.000 0.500 0.000 1
Hg1 Hg 0.240 0.875 0.500 1
```

---

[3]
CdAgHg: relaxed, PBE-GGA.

N(E_F): 0.9 states/eV/f.u.
volume: 21.0 A^3/atom
energy: -1.3003 eV/atom
energy of formation: 56 meV per atom
ΔE to the lowest computed polymorph: 42 meV/atom

Geometry as CIF:
```
data_CdAgHg
_chemical_formula_sum 'Cd1 Ag1 Hg1'
_symmetry_space_group_name_H-M 'P 3 m 1'
_symmetry_Int_Tables_number 156
_cell_length_a 4.8648
_cell_length_b 4.8648
_cell_length_c 3.0758
_cell_angle_alpha 90.00
_cell_angle_beta 90.00
_cell_angle_gamma 120.00
loop_
_symmetry_equiv_pos_as_xyz
'x,y,z'
'-y,x-y,z'
'-x+y,-x,z'
'-y,-x,z'
'-x+y,y,z'
'x,x-y,z'
loop_
_atom_site_label
_atom_site_type_symbol
_atom_site_fract_x
_atom_site_fract_y
_atom_site_fract_z
_atom_site_occupancy
Cd1 Cd 0.0000 0.0000 0.0000 1
Ag1 Ag 0.6667 0.3333 0.5939 1
Hg1 Hg 0.3333 0.6667 0.3345 1
```

---

[4]
Cd4Ag7Hg: relaxed, PBE-GGA.

N(E_F): 2.4 states/eV/f.u.
volume: 21.2 A^3/atom
energy: -1.9144 eV/atom
energy of formation: 79 meV per atom

Geometry as CIF:
```
data_Cd4Ag7Hg
_chemical_formula_sum 'Cd8 Ag14 Hg2'
_symmetry_space_group_name_H-M 'C 1 2/m 1'
_symmetry_Int_Tables_number 12
_cell_length_a 10.608
_cell_length_b 5.208
_cell_length_c 10.560
_cell_angle_alpha 90.00
_cell_angle_beta 119.39
_cell_angle_gamma 90.00
loop_
_symmetry_equiv_pos_as_xyz
'x,y,z'
'-x,-y,-z'
'-x,y,-z'
'x,-y,z'
'x+1/2,y+1/2,z'
'-x+1/2,-y+1/2,-z'
'-x+1/2,y+1/2,-z'
'x+1/2,-y+1/2,z'
loop_
_atom_site_label
_atom_site_type_symbol
_atom_site_fract_x
_atom_site_fract_y
_atom_site_fract_z
_atom_site_occupancy
Cd1 Cd 0.080 0.000 0.312 1
Cd2 Cd 0.175 0.500 0.772 1
Ag1 Ag 0.000 0.000 0.000 1
Ag2 Ag 0.121 0.500 0.471 1
Ag3 Ag 0.164 0.000 0.622 1
Ag4 Ag 0.210 0.000 0.916 1
Hg1 Hg 0.000 0.500 0.000 1
```

---

[5]
Cd5Ag4Hg2: relaxed, PBE-GGA.

N(E_F): 1.9 states/eV/f.u.
volume: 21.3 A^3/atom
energy: -1.5001 eV/atom
energy of formation: 8 meV per atom
ΔE to the lowest computed polymorph: 0 meV/atom

Geometry as CIF:
```
data_Cd5Ag4Hg2
_chemical_formula_sum 'Cd5 Ag4 Hg2'
_symmetry_space_group_name_H-M 'P 1 2/m 1'
_symmetry_Int_Tables_number 10
_cell_length_a 9.140
_cell_length_b 3.030
_cell_length_c 9.559
_cell_angle_alpha 90.00
_cell_angle_beta 117.74
_cell_angle_gamma 90.00
loop_
_symmetry_equiv_pos_as_xyz
'x,y,z'
'-x,-y,-z'
'-x,y,-z'
'x,-y,z'
loop_
_atom_site_label
_atom_site_type_symbol
_atom_site_fract_x
_atom_site_fract_y
_atom_site_fract_z
_atom_site_occupancy
Cd1 Cd 0.000 0.000 0.000 1
Cd2 Cd 0.017 0.000 0.344 1
Cd3 Cd 0.379 0.000 0.074 1
Ag1 Ag 0.253 0.500 0.264 1
Ag2 Ag 0.288 0.500 0.783 1
Hg1 Hg 0.385 0.000 0.573 1
```

---

[6]
CdAgHg3: relaxed, PBE-GGA.

N(E_F): 1.6 states/eV/f.u.
volume: 33.8 A^3/atom
energy: -0.7551 eV/atom
energy of formation: 179 meV per atom
ΔE to the lowest computed polymorph: 0 meV/atom

Geometry as CIF:
```
data_CdAgHg3
_chemical_formula_sum 'Cd1 Ag1 Hg3'
_symmetry_space_group_name_H-M 'P m -3 m'
_symmetry_Int_Tables_number 221
_symmetry_space_group_name_Hall '-P 4 2 3'
_cell_length_a 5.529
_cell_length_b 5.529
_cell_length_c 5.529
_cell_angle_alpha 90.00
_cell_angle_beta 90.00
_cell_angle_gamma 90.00
loop_
_atom_site_label
_atom_site_type_symbol
_atom_site_fract_x
_atom_site_fract_y
_atom_site_fract_z
_atom_site_occupancy
Cd1 Cd 0.000 0.000 0.000 1
Ag1 Ag 0.500 0.500 0.500 1
Hg1 Hg 0.000 0.500 0.500 1
```

---

[7]
Cd15Ag2Hg2: relaxed, PBE-GGA.

N(E_F): 8.0 states/eV/f.u.
volume: 24.9 A^3/atom
energy: -0.9800 eV/atom
energy of formation: 74 meV per atom

Geometry as CIF:
```
data_Cd15Ag2Hg2
_chemical_formula_sum 'Cd45 Ag6 Hg6'
_symmetry_space_group_name_H-M 'R -3 m'
_symmetry_Int_Tables_number 166
_symmetry_space_group_name_Hall '-R 3 2"'
_cell_length_a 8.8051
_cell_length_b 8.8051
_cell_length_c 21.1775
_cell_angle_alpha 90.00
_cell_angle_beta 90.00
_cell_angle_gamma 120.00
loop_
_atom_site_label
_atom_site_type_symbol
_atom_site_fract_x
_atom_site_fract_y
_atom_site_fract_z
_atom_site_occupancy
Cd1 Cd 0.0000 0.3234 0.0000 1
Cd2 Cd 0.0000 0.5000 0.5000 1
Cd3 Cd 0.0614 0.5307 0.1178 1
Ag1 Ag 0.0000 0.0000 0.3487 1
Hg1 Hg 0.0000 0.0000 0.0841 1
```

---

[8]
Cd3Ag3Hg2: relaxed, PBE-GGA.

N(E_F): 2.6 states/eV/f.u.
volume: 21.3 A^3/atom
energy: -1.4596 eV/atom
energy of formation: 28 meV per atom

Geometry as CIF:
```
data_Cd3Ag3Hg2
_chemical_formula_sum 'Cd6 Ag6 Hg4'
_symmetry_space_group_name_H-M 'P -1'
_symmetry_Int_Tables_number 2
_cell_length_a 5.126
_cell_length_b 5.158
_cell_length_c 13.292
_cell_angle_alpha 87.89
_cell_angle_beta 79.25
_cell_angle_gamma 81.08
loop_
_symmetry_equiv_pos_as_xyz
'x,y,z'
'-x,-y,-z'
loop_
_atom_site_label
_atom_site_type_symbol
_atom_site_fract_x
_atom_site_fract_y
_atom_site_fract_z
_atom_site_occupancy
Cd1 Cd 0.041 0.346 0.237 1
Cd2 Cd 0.345 0.121 0.411 1
Cd3 Cd 0.366 0.923 0.836 1
Ag1 Ag 0.113 0.229 0.023 1
Ag2 Ag 0.225 0.627 0.527 1
Ag3 Ag 0.485 0.593 0.297 1
Hg1 Hg 0.081 0.149 0.648 1
Hg2 Hg 0.342 0.694 0.088 1
```

---

[9]
Cd5Ag2Hg3: relaxed, PBE-GGA.

N(E_F): 3.3 states/eV/f.u.
volume: 22.2 A^3/atom
energy: -1.0930 eV/atom
energy of formation: 25 meV per atom

Geometry as CIF:
```
data_Cd5Ag2Hg3
_chemical_formula_sum 'Cd20 Ag8 Hg12'
_symmetry_space_group_name_H-M 'C 1 2/c 1'
_symmetry_Int_Tables_number 15
_cell_length_a 8.599
_cell_length_b 13.413
_cell_length_c 7.913
_cell_angle_alpha 90.00
_cell_angle_beta 102.89
_cell_angle_gamma 90.00
loop_
_symmetry_equiv_pos_as_xyz
'x,y,z'
'-x,-y,-z'
'-x,y,-z+1/2'
'x,-y,z+1/2'
'x+1/2,y+1/2,z'
'-x+1/2,-y+1/2,-z'
'-x+1/2,y+1/2,-z+1/2'
'x+1/2,-y+1/2,z+1/2'
loop_
_atom_site_label
_atom_site_type_symbol
_atom_site_fract_x
_atom_site_fract_y
_atom_site_fract_z
_atom_site_occupancy
Cd1 Cd 0.000 0.065 0.250 1
Cd2 Cd 0.126 0.360 0.623 1
Cd3 Cd 0.250 0.067 0.001 1
Ag1 Ag 0.127 0.250 0.127 1
Hg1 Hg 0.000 0.439 0.250 1
Hg2 Hg 0.123 0.138 0.622 1
```

---

[10]
CdAg2Hg2: relaxed, PBE-GGA.

N(E_F): 1.6 states/eV/f.u.
volume: 21.9 A^3/atom
energy: -1.3363 eV/atom
energy of formation: 108 meV per atom
ΔE to the lowest computed polymorph: 65 meV/atom

Geometry as CIF:
```
data_CdAg2Hg2
_chemical_formula_sum 'Cd2 Ag4 Hg4'
_symmetry_space_group_name_H-M 'P 4/m b m'
_symmetry_Int_Tables_number 127
_symmetry_space_group_name_Hall '-P 4 2ab'
_cell_length_a 7.847
_cell_length_b 7.847
_cell_length_c 3.551
_cell_angle_alpha 90.00
_cell_angle_beta 90.00
_cell_angle_gamma 90.00
loop_
_atom_site_label
_atom_site_type_symbol
_atom_site_fract_x
_atom_site_fract_y
_atom_site_fract_z
_atom_site_occupancy
Cd1 Cd 0.000 0.000 0.000 1
Ag1 Ag 0.141 0.359 0.500 1
Hg1 Hg 0.156 0.656 0.000 1
```

---

[11]
Cd3Ag6Hg2: relaxed, PBE-GGA.

N(E_F): 2.6 states/eV/f.u.
volume: 19.6 A^3/atom
energy: -1.8541 eV/atom
energy of formation: 6 meV per atom

Geometry as CIF:
```
data_Cd3Ag6Hg2
_chemical_formula_sum 'Cd3 Ag6 Hg2'
_symmetry_space_group_name_H-M 'P -1'
_symmetry_Int_Tables_number 2
_cell_length_a 5.282
_cell_length_b 6.544
_cell_length_c 6.895
_cell_angle_alpha 106.04
_cell_angle_beta 106.41
_cell_angle_gamma 95.82
loop_
_symmetry_equiv_pos_as_xyz
'x,y,z'
'-x,-y,-z'
loop_
_atom_site_label
_atom_site_type_symbol
_atom_site_fract_x
_atom_site_fract_y
_atom_site_fract_z
_atom_site_occupancy
Cd1 Cd 0.000 0.000 0.000 1
Cd2 Cd 0.446 0.098 0.802 1
Ag1 Ag 0.097 0.822 0.362 1
Ag2 Ag 0.266 0.451 0.091 1
Ag3 Ag 0.364 0.274 0.450 1
Hg1 Hg 0.189 0.630 0.729 1
```

---

[12]
CdAg8Hg2: relaxed, PBE-GGA.

N(E_F): 4.4 states/eV/f.u.
volume: 22.5 A^3/atom
energy: -1.9998 eV/atom
energy of formation: 212 meV per atom
ΔE to the lowest computed polymorph: 192 meV/atom

Geometry as CIF:
```
data_CdAg8Hg2
_chemical_formula_sum 'Cd2 Ag16 Hg4'
_symmetry_space_group_name_H-M 'C 1 2/m 1'
_symmetry_Int_Tables_number 12
_cell_length_a 10.939
_cell_length_b 9.537
_cell_length_c 4.959
_cell_angle_alpha 90.00
_cell_angle_beta 107.27
_cell_angle_gamma 90.00
loop_
_symmetry_equiv_pos_as_xyz
'x,y,z'
'-x,-y,-z'
'-x,y,-z'
'x,-y,z'
'x+1/2,y+1/2,z'
'-x+1/2,-y+1/2,-z'
'-x+1/2,y+1/2,-z'
'x+1/2,-y+1/2,z'
loop_
_atom_site_label
_atom_site_type_symbol
_atom_site_fract_x
_atom_site_fract_y
_atom_site_fract_z
_atom_site_occupancy
Cd1 Cd 0.000 0.000 0.000 1
Ag1 Ag 0.066 0.500 0.289 1
Ag2 Ag 0.090 0.252 0.827 1
Ag3 Ag 0.221 0.500 0.867 1
Hg1 Hg 0.159 0.000 0.561 1
```

---

Question: The highest volume belongs to which entry?
Answer: CdAgHg3

---

Question: Which of these has the highest volume?
Answer: CdAgHg3

---

Question: Among the records above, which one has the highest energy?
Answer: CdAgHg3